# AcCrHg2O6 | Alexandria via LeMat-Bulk | PBE with a Hubbard U | relaxed
data_AcCrHg2O6
_chemical_formula_sum 'Ac1 Cr1 Hg2 O6'
_space_group_name_H-M_alt 'P 1'
_space_group_IT_number 1
_cell_length_a 5.570
_cell_length_b 5.970
_cell_length_c 6.126
_cell_angle_alpha 116.48
_cell_angle_beta 91.67
_cell_angle_gamma 112.92
loop_
_space_group_symop_operation_xyz
'x,y,z'
loop_
_atom_site_label
_atom_site_fract_x
_atom_site_fract_y
_atom_site_fract_z
_atom_site_occupancy
Ac1 0.000 0.000 0.000 1
Cr1 0.445 0.911 0.438 1
Hg1 0.152 0.359 0.676 1
Hg2 0.715 0.523 0.336 1
O1 0.183 0.588 0.262 1
O2 0.300 0.106 0.702 1
O3 0.413 0.112 0.282 1
O4 0.641 0.934 0.688 1
O5 0.700 0.834 0.246 1
O6 0.932 0.560 0.688 1
# Total moment (μB/f.u.): 0.99
# Energy (eV per atom): -5.519